Density functional theory data (GGA-PBE) for an optimized crystal structure of NdTmAg4.

Computed properties:
Final energy: -3.602 eV/atom
Space group: F-43m, No. 216
ΔE_f: -0.97 eV per formula unit
Size of the total moment: 0.00 μB per formula unit

abc: 5.734 5.734 5.734
angles: 60.00 60.00 60.00
Fractional positions:
Nd: 0.000 0.000 0.000
Tm: 0.250 0.250 0.250
Ag: 0.126 0.625 0.625
Ag: 0.625 0.126 0.625
Ag: 0.625 0.625 0.126
Ag: 0.625 0.625 0.625